# TaMo

A relaxed TaMo crystal (GGA-PBEsol, the Alexandria database).

Output
D(E_F) ... 0.930 states/eV/atom
ΔH_f (0 K) ... 0.26 eV/atom
Energy ... -47.59 eV for the cell shown
Symmetry ... P4/nmm

Unit cell a=2.683 b=2.683 c=9.305 alpha=90.00 beta=90.00 gamma=90.00
Atoms (fractional coordinates):
Mo1 0.500 0.000 0.122
Mo2 0.000 0.500 0.878
Ta1 0.500 0.000 0.628
Ta2 0.000 0.500 0.372


# SiRh2W

A relaxed SiRh2W crystal (GGA-PBEsol, the Alexandria database).

Output
D(E_F) ... 0.985 states/eV/atom
E_form (uncorrected) ... -163 meV/atom
Energy ... -36.48 eV for the cell shown
Symmetry ... P4/mmm

Unit cell a=3.800 b=3.800 c=3.810 alpha=90.00 beta=90.00 gamma=90.00
Atoms (fractional coordinates):
Rh1 0.000 0.500 0.000
Rh2 0.500 0.000 0.000
Si1 0.500 0.500 0.500
W1 0.000 0.000 0.500


Number 1: magnetic moment 0.000 μB/atom. Number 2: magnetic moment 0.000 μB/atom.